# 1
CaAgAu: single point on PBEsol structure, SCAN.

- DOS(E_F): 5.40 states/eV per cell
- Energy relative to the lowest polymorph listed for this composition: 0.230 eV per formula unit
- Energy relative to the elements: -0.5153 eV per atom

```
data_CaAgAu
_chemical_formula_sum 'Ca4 Ag4 Au4'
_cell_length_a 6.632
_cell_length_b 6.632
_cell_length_c 6.632
_cell_angle_alpha 90.00
_cell_angle_beta 90.00
_cell_angle_gamma 90.00
_space_group_name_H-M_alt 'F -4 3 m'
_space_group_IT_number 216
_space_group_name_Hall 'F -4 2 3'
loop_
_atom_site_label
_atom_site_type_symbol
_atom_site_fract_x
_atom_site_fract_y
_atom_site_fract_z
Ca1 Ca 0.000 0.000 0.000
Ag1 Ag 0.000 0.000 0.500
Au1 Au 0.250 0.250 0.250
```


# 2
RbMgTiW2: single point on PBEsol structure, SCAN.

- DOS(E_F): 4.93 states/eV per cell
- Energy relative to the elements: 2.0556 eV per atom

```
data_RbMgTiW2
_chemical_formula_sum 'Rb1 Mg1 Ti1 W2'
_cell_length_a 4.673
_cell_length_b 4.673
_cell_length_c 5.583
_cell_angle_alpha 90.00
_cell_angle_beta 90.00
_cell_angle_gamma 90.00
_space_group_name_H-M_alt 'P 4/m m m'
_space_group_IT_number 123
_space_group_name_Hall '-P 4 2'
loop_
_atom_site_label
_atom_site_type_symbol
_atom_site_fract_x
_atom_site_fract_y
_atom_site_fract_z
Rb1 Rb 0.000 0.000 0.000
Mg1 Mg 0.500 0.500 0.000
Ti1 Ti 0.000 0.000 0.500
W1 W 0.000 0.500 0.500
```


# 3
HgMoAs2: single point on PBEsol structure, SCAN.

- DOS(E_F): 3.07 states/eV per cell
- Energy relative to the elements: 0.6935 eV per atom

```
data_HgMoAs2
_chemical_formula_sum 'Hg1 Mo1 As2'
_cell_length_a 3.317
_cell_length_b 4.385
_cell_length_c 4.855
_cell_angle_alpha 90.00
_cell_angle_beta 90.00
_cell_angle_gamma 90.00
_space_group_name_H-M_alt 'P m m m'
_space_group_IT_number 47
loop_
_space_group_symop_operation_xyz
'x,y,z'
'-x,-y,-z'
'-x,-y,z'
'x,y,-z'
'x,-y,-z'
'-x,y,z'
'-x,y,-z'
'x,-y,z'
loop_
_atom_site_label
_atom_site_type_symbol
_atom_site_fract_x
_atom_site_fract_y
_atom_site_fract_z
Hg1 Hg 0.000 0.000 0.000
Mo1 Mo 0.500 0.000 0.500
As1 As 0.000 0.500 0.500
As2 As 0.500 0.500 0.000
```


# 4
TcNi6Pt: single point on PBEsol structure, SCAN.

- DOS(E_F): 80.05 states/eV per cell
- Energy relative to the elements: 0.0510 eV per atom

```
data_TcNi6Pt
_chemical_formula_sum 'Tc8 Ni48 Pt8'
_cell_length_a 7.146
_cell_length_b 10.090
_cell_length_c 10.106
_cell_angle_alpha 90.00
_cell_angle_beta 90.00
_cell_angle_gamma 90.00
_space_group_name_H-M_alt 'C m m m'
_space_group_IT_number 65
_space_group_name_Hall '-C 2 2'
loop_
_atom_site_label
_atom_site_type_symbol
_atom_site_fract_x
_atom_site_fract_y
_atom_site_fract_z
Tc1 Tc 0.000 0.000 0.245
Tc2 Tc 0.000 0.248 0.500
Ni1 Ni 0.000 0.000 0.000
Ni2 Ni 0.000 0.000 0.500
Ni3 Ni 0.000 0.247 0.256
Ni4 Ni 0.000 0.500 0.000
Ni5 Ni 0.000 0.500 0.500
Ni6 Ni 0.245 0.124 0.128
Ni7 Ni 0.246 0.126 0.378
Pt1 Pt 0.000 0.252 0.000
Pt2 Pt 0.000 0.500 0.250
```


# 5
CuNiRh2: single point on PBEsol structure, SCAN.

- DOS(E_F): 4.99 states/eV per cell
- Energy relative to the elements: 0.0803 eV per atom

```
data_CuNiRh2
_chemical_formula_sum 'Cu1 Ni1 Rh2'
_cell_length_a 2.630
_cell_length_b 3.653
_cell_length_c 5.122
_cell_angle_alpha 90.00
_cell_angle_beta 90.00
_cell_angle_gamma 90.00
_space_group_name_H-M_alt 'P m m 2'
_space_group_IT_number 25
loop_
_space_group_symop_operation_xyz
'x,y,z'
'-x,-y,z'
'-x,y,z'
'x,-y,z'
loop_
_atom_site_label
_atom_site_type_symbol
_atom_site_fract_x
_atom_site_fract_y
_atom_site_fract_z
Cu1 Cu 0.000 0.000 0.000
Ni1 Ni 0.500 0.500 0.237
Rh1 Rh 0.000 0.000 0.489
Rh2 Rh 0.500 0.500 0.741
```


# 6
TlRe2Ag: single point on PBEsol structure, SCAN.

- DOS(E_F): 5.25 states/eV per cell
- Energy relative to the lowest polymorph listed for this composition: 0.105 eV per formula unit
- Energy relative to the elements: 0.9808 eV per atom

```
data_TlRe2Ag
_chemical_formula_sum 'Tl2 Re4 Ag2'
_cell_length_a 5.553
_cell_length_b 9.934
_cell_length_c 2.801
_cell_angle_alpha 90.00
_cell_angle_beta 119.59
_cell_angle_gamma 90.00
_space_group_name_H-M_alt 'C 1 2/m 1'
_space_group_IT_number 12
loop_
_space_group_symop_operation_xyz
'x,y,z'
'-x,-y,-z'
'-x,y,-z'
'x,-y,z'
'x+1/2,y+1/2,z'
'-x+1/2,-y+1/2,-z'
'-x+1/2,y+1/2,-z'
'x+1/2,-y+1/2,z'
loop_
_atom_site_label
_atom_site_type_symbol
_atom_site_fract_x
_atom_site_fract_y
_atom_site_fract_z
Tl1 Tl 0.000 0.000 0.000
Re1 Re 0.250 0.250 0.500
Ag1 Ag 0.000 0.500 0.000
```


# 7
LiSiMo: single point on PBEsol structure, SCAN.

- DOS(E_F): 3.99 states/eV per cell
- Energy relative to the elements, uncorrected: 147 meV per atom
- Energy relative to the lowest polymorph listed for this composition: 0.000 eV per formula unit

```
data_LiSiMo
_chemical_formula_sum 'Li2 Si2 Mo2'
_cell_length_a 2.626
_cell_length_b 2.626
_cell_length_c 12.673
_cell_angle_alpha 90.00
_cell_angle_beta 90.00
_cell_angle_gamma 90.00
_space_group_name_H-M_alt 'I 4 m m'
_space_group_IT_number 107
_space_group_name_Hall 'I 4 -2'
loop_
_atom_site_label
_atom_site_type_symbol
_atom_site_fract_x
_atom_site_fract_y
_atom_site_fract_z
Li1 Li 0.000 0.000 0.000
Si1 Si 0.000 0.000 0.335
Mo1 Mo 0.000 0.000 0.685
```


# 8
BSeIO2: single point on PBEsol structure, SCAN.

- DOS(E_F): 0.89 states/eV per cell
- Energy relative to the elements, uncorrected: 579 meV per atom

```
data_BSeIO2
_chemical_formula_sum 'B1 Se1 I1 O2'
_cell_length_a 3.583
_cell_length_b 3.583
_cell_length_c 5.855
_cell_angle_alpha 90.00
_cell_angle_beta 90.00
_cell_angle_gamma 90.00
_space_group_name_H-M_alt 'P 4/m m m'
_space_group_IT_number 123
_space_group_name_Hall '-P 4 2'
loop_
_atom_site_label
_atom_site_type_symbol
_atom_site_fract_x
_atom_site_fract_y
_atom_site_fract_z
B1 B 0.000 0.000 0.000
Se1 Se 0.500 0.500 0.500
I1 I 0.000 0.000 0.500
O1 O 0.000 0.500 0.000
```


# 9
SiIr2Pb: single point on PBEsol structure, SCAN.

- DOS(E_F): 10.19 states/eV per cell
- Energy relative to the elements, uncorrected: 470 meV per atom
- Energy relative to the lowest polymorph listed for this composition: 0.000 eV per formula unit

```
data_SiIr2Pb
_chemical_formula_sum 'Si3 Ir6 Pb3'
_cell_length_a 3.0957
_cell_length_b 3.0957
_cell_length_c 24.9236
_cell_angle_alpha 90.00
_cell_angle_beta 90.00
_cell_angle_gamma 120.00
_space_group_name_H-M_alt 'R 3 m'
_space_group_IT_number 160
_space_group_name_Hall 'R 3 -2"'
loop_
_atom_site_label
_atom_site_type_symbol
_atom_site_fract_x
_atom_site_fract_y
_atom_site_fract_z
Si1 Si 0.0000 0.0000 0.0000
Ir1 Ir 0.0000 0.0000 0.2724
Ir2 Ir 0.0000 0.0000 0.5186
Pb1 Pb 0.0000 0.0000 0.7658
```


# 10
Ce2CuSi3: single point on PBEsol structure, SCAN.

- DOS(E_F): 4.14 states/eV per cell
- Energy relative to the elements, uncorrected: -645 meV per atom

```
data_Ce2CuSi3
_chemical_formula_sum 'Ce2 Cu1 Si3'
_cell_length_a 4.0601
_cell_length_b 4.0601
_cell_length_c 7.8824
_cell_angle_alpha 90.00
_cell_angle_beta 90.00
_cell_angle_gamma 120.00
_space_group_name_H-M_alt 'P -6 m 2'
_space_group_IT_number 187
_space_group_name_Hall 'P -6 2'
loop_
_atom_site_label
_atom_site_type_symbol
_atom_site_fract_x
_atom_site_fract_y
_atom_site_fract_z
Ce1 Ce 0.0000 0.0000 0.2484
Cu1 Cu 0.6667 0.3333 0.5000
Si1 Si 0.3333 0.6667 0.0000
Si2 Si 0.3333 0.6667 0.5000
Si3 Si 0.6667 0.3333 0.0000
```


# 11
KSiAu2: single point on PBEsol structure, SCAN.

- DOS(E_F): 2.51 states/eV per cell
- Energy relative to the elements, uncorrected: -263 meV per atom

```
data_KSiAu2
_chemical_formula_sum 'K2 Si2 Au4'
_cell_length_a 7.617
_cell_length_b 4.373
_cell_length_c 6.398
_cell_angle_alpha 90.00
_cell_angle_beta 113.16
_cell_angle_gamma 90.00
_space_group_name_H-M_alt 'C 1 2/m 1'
_space_group_IT_number 12
loop_
_space_group_symop_operation_xyz
'x,y,z'
'-x,-y,-z'
'-x,y,-z'
'x,-y,z'
'x+1/2,y+1/2,z'
'-x+1/2,-y+1/2,-z'
'-x+1/2,y+1/2,-z'
'x+1/2,-y+1/2,z'
loop_
_atom_site_label
_atom_site_type_symbol
_atom_site_fract_x
_atom_site_fract_y
_atom_site_fract_z
K1 K 0.000 0.000 0.000
Si1 Si 0.000 0.500 0.500
Au1 Au 0.194 0.000 0.582
```


# 12
AlSiRu: single point on PBEsol structure, SCAN.

- DOS(E_F): 1.46 states/eV per cell
- Energy relative to the elements, uncorrected: -620 meV per atom

```
data_AlSiRu
_chemical_formula_sum 'Al2 Si2 Ru2'
_cell_length_a 2.940
_cell_length_b 3.437
_cell_length_c 7.805
_cell_angle_alpha 90.00
_cell_angle_beta 90.00
_cell_angle_gamma 90.00
_space_group_name_H-M_alt 'I m m 2'
_space_group_IT_number 44
loop_
_space_group_symop_operation_xyz
'x,y,z'
'-x,-y,z'
'-x,y,z'
'x,-y,z'
'x+1/2,y+1/2,z+1/2'
'-x+1/2,-y+1/2,z+1/2'
'-x+1/2,y+1/2,z+1/2'
'x+1/2,-y+1/2,z+1/2'
loop_
_atom_site_label
_atom_site_type_symbol
_atom_site_fract_x
_atom_site_fract_y
_atom_site_fract_z
Al1 Al 0.000 0.000 0.000
Si1 Si 0.000 0.000 0.324
Ru1 Ru 0.000 0.000 0.671
```


Looking at magnetization for the records above, in order, we have 0.00 0.00 0.00 0.00 0.00 0.00 0.03 0.85 0.00 0.00 0.00 0.00 μB per formula unit.